#A
PrY3Tm5: relaxed, PBE-GGA.

Output
ρ	6.77	g/cm3

Structure (CIF):
```
data_PrY3Tm5
_chemical_formula_sum 'Pr4 Y12 Tm20'
_cell_length_a 16.758
_cell_length_b 7.902
_cell_length_c 12.192
_cell_angle_alpha 90.00
_cell_angle_beta 130.45
_cell_angle_gamma 90.00
_space_group_name_H-M_alt 'C 1 2/m 1'
_space_group_IT_number 12
_space_group_name_Hall '-C 2y'
loop_
_atom_site_label
_atom_site_type_symbol
_atom_site_fract_x
_atom_site_fract_y
_atom_site_fract_z
_atom_site_occupancy
Pr1 Pr 0.237 0.000 0.129 1
Y1 Y 0.000 0.000 0.000 1
Y2 Y 0.000 0.500 0.500 1
Y3 Y 0.121 0.500 0.312 1
Y4 Y 0.174 0.000 0.343 1
Tm1 Tm 0.000 0.322 0.000 1
Tm2 Tm 0.065 0.206 0.781 1
Tm3 Tm 0.120 0.000 0.564 1
Tm4 Tm 0.201 0.500 0.074 1
```

#B
PrY3Tm5: relaxed, PBE-GGA.

Output
ρ	7.01	g/cm3

Structure (CIF):
```
data_PrY3Tm5
_chemical_formula_sum 'Pr4 Y12 Tm20'
_cell_length_a 19.064
_cell_length_b 6.003
_cell_length_c 11.289
_cell_angle_alpha 90.00
_cell_angle_beta 113.32
_cell_angle_gamma 90.00
_space_group_name_H-M_alt 'C 1 2/c 1'
_space_group_IT_number 15
_space_group_name_Hall '-C 2yc'
loop_
_atom_site_label
_atom_site_type_symbol
_atom_site_fract_x
_atom_site_fract_y
_atom_site_fract_z
_atom_site_occupancy
Pr1 Pr 0.000 0.095 0.250 1
Y1 Y 0.000 0.000 0.000 1
Y2 Y 0.178 0.236 0.362 1
Tm1 Tm 0.000 0.409 0.750 1
Tm2 Tm 0.163 0.257 0.695 1
Tm3 Tm 0.171 0.252 0.031 1
```

Stability, lowest: #A

#A
Pr5Y2Tm4: relaxed, PBE-GGA.

Output
ρ	6.75	g/cm3

Structure (CIF):
```
data_Pr5Y2Tm4
_chemical_formula_sum 'Pr10 Y4 Tm8'
_cell_length_a 3.538
_cell_length_b 9.111
_cell_length_c 23.763
_cell_angle_alpha 90.00
_cell_angle_beta 90.00
_cell_angle_gamma 90.00
_space_group_name_H-M_alt 'I m m m'
_space_group_IT_number 71
_space_group_name_Hall '-I 2 2'
loop_
_atom_site_label
_atom_site_type_symbol
_atom_site_fract_x
_atom_site_fract_y
_atom_site_fract_z
_atom_site_occupancy
Pr1 Pr 0.000 0.000 0.000 1
Pr2 Pr 0.000 0.301 0.356 1
Y1 Y 0.000 0.500 0.231 1
Tm1 Tm 0.000 0.182 0.500 1
Tm2 Tm 0.000 0.500 0.096 1
```

#B
Pr5Y2Tm4: relaxed, PBE-GGA.

Output
ρ	6.86	g/cm3

Structure (CIF):
```
data_Pr5Y2Tm4
_chemical_formula_sum 'Pr10 Y4 Tm8'
_cell_length_a 18.112
_cell_length_b 3.588
_cell_length_c 11.889
_cell_angle_alpha 90.00
_cell_angle_beta 102.31
_cell_angle_gamma 90.00
_space_group_name_H-M_alt 'C 1 2/m 1'
_space_group_IT_number 12
_space_group_name_Hall '-C 2y'
loop_
_atom_site_label
_atom_site_type_symbol
_atom_site_fract_x
_atom_site_fract_y
_atom_site_fract_z
_atom_site_occupancy
Pr1 Pr 0.000 0.000 0.000 1
Pr2 Pr 0.147 0.500 0.513 1
Pr3 Pr 0.165 0.500 0.002 1
Y1 Y 0.151 0.000 0.258 1
Tm1 Tm 0.018 0.500 0.729 1
Tm2 Tm 0.187 0.000 0.764 1
```

Stability, lowest: #A

#A
Pr3Y4Tm2: relaxed, PBE-GGA.

Output
ρ	6.23	g/cm3

Structure (CIF):
```
data_Pr3Y4Tm2
_chemical_formula_sum 'Pr6 Y8 Tm4'
_cell_length_a 15.290
_cell_length_b 5.094
_cell_length_c 8.050
_cell_angle_alpha 90.00
_cell_angle_beta 108.37
_cell_angle_gamma 90.00
_space_group_name_H-M_alt 'C 1 2/m 1'
_space_group_IT_number 12
_space_group_name_Hall '-C 2y'
loop_
_atom_site_label
_atom_site_type_symbol
_atom_site_fract_x
_atom_site_fract_y
_atom_site_fract_z
_atom_site_occupancy
Pr1 Pr 0.000 0.000 0.000 1
Pr2 Pr 0.110 0.000 0.664 1
Y1 Y 0.167 0.500 0.001 1
Y2 Y 0.221 0.000 0.334 1
Tm1 Tm 0.056 0.500 0.334 1
```

#B
Pr3Y4Tm2: relaxed, PBE-GGA.

Output
ρ	6.25	g/cm3

Structure (CIF):
```
data_Pr3Y4Tm2
_chemical_formula_sum 'Pr12 Y16 Tm8'
_cell_length_a 16.745
_cell_length_b 11.770
_cell_length_c 6.078
_cell_angle_alpha 90.00
_cell_angle_beta 97.77
_cell_angle_gamma 90.00
_space_group_name_H-M_alt 'C 1 2/c 1'
_space_group_IT_number 15
_space_group_name_Hall '-C 2yc'
loop_
_atom_site_label
_atom_site_type_symbol
_atom_site_fract_x
_atom_site_fract_y
_atom_site_fract_z
_atom_site_occupancy
Pr1 Pr 0.000 0.104 0.250 1
Pr2 Pr 0.167 0.389 0.082 1
Y1 Y 0.051 0.368 0.521 1
Y2 Y 0.215 0.125 0.360 1
Tm1 Tm 0.113 0.135 0.815 1
```

Stability, lowest: #B

#A
PrYTmZn: relaxed, PBE-GGA.

Output
ρ	6.86	g/cm3

Structure (CIF):
```
data_PrYTmZn
_chemical_formula_sum 'Pr1 Y1 Tm1 Zn1'
_cell_length_a 3.575
_cell_length_b 3.575
_cell_length_c 8.787
_cell_angle_alpha 90.00
_cell_angle_beta 90.00
_cell_angle_gamma 90.00
_space_group_name_H-M_alt 'P 4 m m'
_space_group_IT_number 99
_space_group_name_Hall 'P 4 -2'
loop_
_atom_site_label
_atom_site_type_symbol
_atom_site_fract_x
_atom_site_fract_y
_atom_site_fract_z
_atom_site_occupancy
Pr1 Pr 0.000 0.000 0.000 1
Y1 Y 0.500 0.500 0.695 1
Tm1 Tm 0.500 0.500 0.296 1
Zn1 Zn 0.000 0.000 0.489 1
```

#B
PrYTmZn: relaxed, PBE-GGA.

Output
ρ	6.93	g/cm3

Structure (CIF):
```
data_PrYTmZn
_chemical_formula_sum 'Pr4 Y4 Tm4 Zn4'
_cell_length_a 7.632
_cell_length_b 7.632
_cell_length_c 7.632
_cell_angle_alpha 90.00
_cell_angle_beta 90.00
_cell_angle_gamma 90.00
_space_group_name_H-M_alt 'F -4 3 m'
_space_group_IT_number 216
_space_group_name_Hall 'F -4 2 3'
loop_
_atom_site_label
_atom_site_type_symbol
_atom_site_fract_x
_atom_site_fract_y
_atom_site_fract_z
_atom_site_occupancy
Pr1 Pr 0.000 0.000 0.000 1
Y1 Y 0.000 0.000 0.500 1
Tm1 Tm 0.250 0.250 0.250 1
Zn1 Zn 0.250 0.250 0.750 1
```

Stability, lowest: #B

#A
PrTm2Zn: relaxed, PBE-GGA.

Output
ρ	8.21	g/cm3

Structure (CIF):
```
data_PrTm2Zn
_chemical_formula_sum 'Pr1 Tm2 Zn1'
_cell_length_a 3.548
_cell_length_b 3.548
_cell_length_c 8.740
_cell_angle_alpha 90.00
_cell_angle_beta 90.00
_cell_angle_gamma 90.00
_space_group_name_H-M_alt 'P 4/m m m'
_space_group_IT_number 123
_space_group_name_Hall '-P 4 2'
loop_
_atom_site_label
_atom_site_type_symbol
_atom_site_fract_x
_atom_site_fract_y
_atom_site_fract_z
_atom_site_occupancy
Pr1 Pr 0.000 0.000 0.000 1
Tm1 Tm 0.500 0.500 0.301 1
Zn1 Zn 0.000 0.000 0.500 1
```

#B
PrTm2Zn: relaxed, PBE-GGA.

Output
ρ	7.73	g/cm3

Structure (CIF):
```
data_PrTm2Zn
_chemical_formula_sum 'Pr3 Tm6 Zn3'
_cell_length_a 4.9676
_cell_length_b 4.9676
_cell_length_c 16.4128
_cell_angle_alpha 90.00
_cell_angle_beta 90.00
_cell_angle_gamma 120.00
_space_group_name_H-M_alt 'R 3 m'
_space_group_IT_number 160
_space_group_name_Hall 'R 3 -2"'
loop_
_atom_site_label
_atom_site_type_symbol
_atom_site_fract_x
_atom_site_fract_y
_atom_site_fract_z
_atom_site_occupancy
Pr1 Pr 0.0000 0.0000 0.0000 1
Tm1 Tm 0.0000 0.0000 0.5538 1
Tm2 Tm 0.0000 0.0000 0.7872 1
Zn1 Zn 0.0000 0.0000 0.2060 1
```

Stability, lowest: #B

#A
PrTm2Zn: relaxed, PBE-GGA.

Output
ρ	7.97	g/cm3

Structure (CIF):
```
data_PrTm2Zn
_chemical_formula_sum 'Pr3 Tm6 Zn3'
_cell_length_a 3.5662
_cell_length_b 3.5662
_cell_length_c 30.8740
_cell_angle_alpha 90.00
_cell_angle_beta 90.00
_cell_angle_gamma 120.00
_space_group_name_H-M_alt 'R -3 m'
_space_group_IT_number 166
_space_group_name_Hall '-R 3 2"'
loop_
_atom_site_label
_atom_site_type_symbol
_atom_site_fract_x
_atom_site_fract_y
_atom_site_fract_z
_atom_site_occupancy
Pr1 Pr 0.0000 0.0000 0.0000 1
Tm1 Tm 0.0000 0.0000 0.2375 1
Zn1 Zn 0.0000 0.0000 0.5000 1
```

#B
PrTm2Zn: relaxed, PBE-GGA.

Output
ρ	8.35	g/cm3

Structure (CIF):
```
data_PrTm2Zn
_chemical_formula_sum 'Pr1 Tm2 Zn1'
_cell_length_a 4.750
_cell_length_b 4.750
_cell_length_c 4.795
_cell_angle_alpha 90.00
_cell_angle_beta 90.00
_cell_angle_gamma 90.00
_space_group_name_H-M_alt 'P 4/m m m'
_space_group_IT_number 123
_space_group_name_Hall '-P 4 2'
loop_
_atom_site_label
_atom_site_type_symbol
_atom_site_fract_x
_atom_site_fract_y
_atom_site_fract_z
_atom_site_occupancy
Pr1 Pr 0.000 0.000 0.000 1
Tm1 Tm 0.000 0.500 0.500 1
Zn1 Zn 0.500 0.500 0.000 1
```

Stability, lowest: #B

#A
Pr2TmZn: relaxed, PBE-GGA.

Output
ρ	7.01	g/cm3

Structure (CIF):
```
data_Pr2TmZn
_chemical_formula_sum 'Pr6 Tm3 Zn3'
_cell_length_a 3.6546
_cell_length_b 3.6546
_cell_length_c 31.7081
_cell_angle_alpha 90.00
_cell_angle_beta 90.00
_cell_angle_gamma 120.00
_space_group_name_H-M_alt 'R -3 m'
_space_group_IT_number 166
_space_group_name_Hall '-R 3 2"'
loop_
_atom_site_label
_atom_site_type_symbol
_atom_site_fract_x
_atom_site_fract_y
_atom_site_fract_z
_atom_site_occupancy
Pr1 Pr 0.0000 0.0000 0.2411 1
Tm1 Tm 0.0000 0.0000 0.0000 1
Zn1 Zn 0.0000 0.0000 0.5000 1
```

#B
Pr2TmZn: relaxed, PBE-GGA.

Output
ρ	7.25	g/cm3

Structure (CIF):
```
data_Pr2TmZn
_chemical_formula_sum 'Pr2 Tm1 Zn1'
_cell_length_a 3.684
_cell_length_b 3.684
_cell_length_c 8.711
_cell_angle_alpha 90.00
_cell_angle_beta 90.00
_cell_angle_gamma 90.00
_space_group_name_H-M_alt 'P 4/m m m'
_space_group_IT_number 123
_space_group_name_Hall '-P 4 2'
loop_
_atom_site_label
_atom_site_type_symbol
_atom_site_fract_x
_atom_site_fract_y
_atom_site_fract_z
_atom_site_occupancy
Pr1 Pr 0.000 0.000 0.214 1
Tm1 Tm 0.500 0.500 0.500 1
Zn1 Zn 0.500 0.500 0.000 1
```

#C
Pr2TmZn: relaxed, PBE-GGA.

Output
ρ	7.44	g/cm3

Structure (CIF):
```
data_Pr2TmZn
_chemical_formula_sum 'Pr8 Tm4 Zn4'
_cell_length_a 7.723
_cell_length_b 7.723
_cell_length_c 7.723
_cell_angle_alpha 90.00
_cell_angle_beta 90.00
_cell_angle_gamma 90.00
_space_group_name_H-M_alt 'F m -3 m'
_space_group_IT_number 225
_space_group_name_Hall '-F 4 2 3'
loop_
_atom_site_label
_atom_site_type_symbol
_atom_site_fract_x
_atom_site_fract_y
_atom_site_fract_z
_atom_site_occupancy
Pr1 Pr 0.250 0.250 0.250 1
Tm1 Tm 0.000 0.000 0.000 1
Zn1 Zn 0.000 0.000 0.500 1
```

#D
Pr2TmZn: relaxed, PBE-GGA.

Output
ρ	7.37	g/cm3

Structure (CIF):
```
data_Pr2TmZn
_chemical_formula_sum 'Pr8 Tm4 Zn4'
_cell_length_a 5.152
_cell_length_b 5.152
_cell_length_c 17.527
_cell_angle_alpha 90.00
_cell_angle_beta 90.00
_cell_angle_gamma 90.00
_space_group_name_H-M_alt 'I 4/m m m'
_space_group_IT_number 139
_space_group_name_Hall '-I 4 2'
loop_
_atom_site_label
_atom_site_type_symbol
_atom_site_fract_x
_atom_site_fract_y
_atom_site_fract_z
_atom_site_occupancy
Pr1 Pr 0.000 0.000 0.145 1
Pr2 Pr 0.000 0.500 0.000 1
Tm1 Tm 0.000 0.000 0.349 1
Zn1 Zn 0.000 0.500 0.250 1
```

Stability, lowest: #C

#A
Pr3TmZn2: relaxed, PBE-GGA.

Output
ρ	7.17	g/cm3

Structure (CIF):
```
data_Pr3TmZn2
_chemical_formula_sum 'Pr6 Tm2 Zn4'
_cell_length_a 5.426
_cell_length_b 16.531
_cell_length_c 3.733
_cell_angle_alpha 90.00
_cell_angle_beta 90.00
_cell_angle_gamma 90.00
_space_group_name_H-M_alt 'C m m m'
_space_group_IT_number 65
_space_group_name_Hall '-C 2 2'
loop_
_atom_site_label
_atom_site_type_symbol
_atom_site_fract_x
_atom_site_fract_y
_atom_site_fract_z
_atom_site_occupancy
Pr1 Pr 0.000 0.000 0.000 1
Pr2 Pr 0.000 0.321 0.000 1
Tm1 Tm 0.000 0.500 0.500 1
Zn1 Zn 0.000 0.156 0.500 1
```

#B
Pr3TmZn2: relaxed, PBE-GGA.

Output
ρ	7.08	g/cm3

Structure (CIF):
```
data_Pr3TmZn2
_chemical_formula_sum 'Pr3 Tm1 Zn2'
_cell_length_a 3.708
_cell_length_b 3.708
_cell_length_c 12.331
_cell_angle_alpha 90.00
_cell_angle_beta 90.00
_cell_angle_gamma 90.00
_space_group_name_H-M_alt 'P 4/m m m'
_space_group_IT_number 123
_space_group_name_Hall '-P 4 2'
loop_
_atom_site_label
_atom_site_type_symbol
_atom_site_fract_x
_atom_site_fract_y
_atom_site_fract_z
_atom_site_occupancy
Pr1 Pr 0.000 0.000 0.000 1
Pr2 Pr 0.000 0.000 0.298 1
Tm1 Tm 0.500 0.500 0.500 1
Zn1 Zn 0.500 0.500 0.150 1
```

Stability, lowest: #A